Computed, not measured: a geometry-optimized ZrBr3 structure at the PBE-GGA level of DFT.

For the raw total energy, the calculation gives -3.55 eV/atom. The total magnetization is 1.0 μB per formula unit. The formation energy from raw total energies is -0.627 eV per formula unit.

It has space group Pm-3m (No. 221), with a = 4.611 Å, b = 4.611 Å, c = 4.611 Å, α = 90.00°, β = 90.00° and γ = 90.00°. The inequivalent atoms are Zr at (0.000, 0.000, 0.000) and Br at (0.000, 0.500, 0.500).

=====

Computed, not measured: a geometry-optimized TaInCo2 structure at the PBE-GGA level of DFT.

For the raw total energy, the calculation gives -7.06 eV/atom. The calculation puts the formation energy from the elements at 0.1373 eV per atom. The total magnetization is 0.6 μB per formula unit.

It has space group P4mm (No. 99), with a = 3.290 Å, b = 3.290 Å, c = 5.708 Å, α = 90.00°, β = 90.00° and γ = 90.00°. The inequivalent atoms are Ta at (0.000, 0.000, 0.000), In at (0.500, 0.500, 0.644), Co at (0.000, 0.000, 0.415) and Co at (0.500, 0.500, 0.157).

=====

Number 1 is which compound? ZrBr3

=====

Look up the raw total energy of the second one. -7.06 eV/atom